(1)
# ZnSe2Cl

ZnSe2Cl after structural relaxation (GGA-PBE, Alexandria).

Cell lengths 5.640, 5.640, 5.123 Å; angles 84.27, 84.27, 33.89 degrees
Positions (direct):
Se 0.563 0.563 0.391
Se 0.937 0.937 0.109
Cl 0.750 0.750 0.750
Zn 0.250 0.250 0.250

Calculated values
Energy relative to the lowest polymorph listed for this composition   273 meV per atom
Space-group type   No. 12
ρ   4.75 Mg/m³
DOS at the Fermi energy   1.25 states/eV/cell
Uncorrected formation energy   -0.11 eV/atom


(2)
# KZrHg

KZrHg after structural relaxation (GGA-PBE, Alexandria).

Cell lengths 7.356, 7.356, 7.356 Å; angles 155.38, 144.50, 43.68 degrees
Each line ends with the local moment (μB).
Positions (direct):
Hg 0.037 0.037 0.000  0.01
Zr 0.618 0.618 0.000  0.36
K 0.345 0.345 0.000  0.01

Calculated values
Energy relative to the lowest polymorph listed for this composition   40 meV per atom
Space-group type   No. 44
ρ   5.72 Mg/m³
DOS at the Fermi energy   3.15 states/eV/cell
Energy of formation   0.341 eV/atom


(3)
# ScHgI3

ScHgI3 after structural relaxation (GGA-PBE, Alexandria).

Cell lengths 8.221, 8.230, 7.050 Å; angles 80.73, 81.07, 89.64 degrees
Positions (direct):
Sc 0.040 0.600 0.593
Sc 0.040 0.600 0.093
I 0.962 0.326 0.909
I 0.237 0.400 0.345
Hg 0.486 0.153 0.843
I 0.842 0.800 0.841
I 0.765 0.525 0.407
I 0.118 0.874 0.278
I 0.315 0.675 0.779
Hg 0.594 0.047 0.344

Calculated values
Energy relative to the lowest polymorph listed for this composition   12 meV per atom
Space-group type   No. 2
ρ   4.47 Mg/m³
DOS at the Fermi energy   0.00 states/eV/cell
Uncorrected formation energy   -0.96 eV/atom


What did the first record say?
# ZnSe2Cl

ZnSe2Cl after structural relaxation (GGA-PBE, Alexandria).

Cell lengths 5.640, 5.640, 5.123 Å; angles 84.27, 84.27, 33.89 degrees
Positions (direct):
Se 0.563 0.563 0.391
Se 0.937 0.937 0.109
Cl 0.750 0.750 0.750
Zn 0.250 0.250 0.250

Calculated values
Energy relative to the lowest polymorph listed for this composition   273 meV per atom
Space-group type   No. 12
ρ   4.75 Mg/m³
DOS at the Fermi energy   1.25 states/eV/cell
Uncorrected formation energy   -0.11 eV/atom


Copy entry 3 word for word.
# ScHgI3

ScHgI3 after structural relaxation (GGA-PBE, Alexandria).

Cell lengths 8.221, 8.230, 7.050 Å; angles 80.73, 81.07, 89.64 degrees
Positions (direct):
Sc 0.040 0.600 0.593
Sc 0.040 0.600 0.093
I 0.962 0.326 0.909
I 0.237 0.400 0.345
Hg 0.486 0.153 0.843
I 0.842 0.800 0.841
I 0.765 0.525 0.407
I 0.118 0.874 0.278
I 0.315 0.675 0.779
Hg 0.594 0.047 0.344

Calculated values
Energy relative to the lowest polymorph listed for this composition   12 meV per atom
Space-group type   No. 2
ρ   4.47 Mg/m³
DOS at the Fermi energy   0.00 states/eV/cell
Uncorrected formation energy   -0.96 eV/atom


Question: Which value of DOS at the Fermi energy does entry 3 give?
Answer: 0.00 states/eV/cell


Question: Which value of energy relative to the lowest polymorph listed for this composition does entry 3 give?
Answer: 12 meV per atom